(1)
# CoP2Br GGA-PBEsol relaxed
data_CoP2Br
_cell_length_a 6.140
_cell_length_b 6.140
_cell_length_c 6.140
_cell_angle_alpha 90.00
_cell_angle_beta 90.00
_cell_angle_gamma 90.00
_space_group_name_H-M_alt 'F m -3 m'
_space_group_IT_number 225
_space_group_name_Hall '-F 4 2 3'
loop_
_atom_site_label
_atom_site_type_symbol
_atom_site_fract_x
_atom_site_fract_y
_atom_site_fract_z
Co1 Co 0.000 0.000 0.000
P1 P 0.250 0.250 0.250
Br1 Br 0.000 0.000 0.500
# Excess energy over the best structure of this formula in the dataset = 1005 meV/atom
# E_form (uncorrected) = 88.1 kJ per mole of atoms
# N(E_F) = 0.94 states/eV/atom
# Uncorrected energy = -70.154 eV for the cell shown

---

(2)
# CoP2SBr GGA-PBEsol relaxed
data_CoP2SBr
_cell_length_a 4.302
_cell_length_b 4.302
_cell_length_c 4.578
_cell_angle_alpha 90.00
_cell_angle_beta 90.00
_cell_angle_gamma 90.00
_space_group_name_H-M_alt 'P 4/m m m'
_space_group_IT_number 123
_space_group_name_Hall '-P 4 2'
loop_
_atom_site_label
_atom_site_type_symbol
_atom_site_fract_x
_atom_site_fract_y
_atom_site_fract_z
Co1 Co 0.000 0.000 0.000
P1 P 0.000 0.500 0.000
S1 S 0.000 0.000 0.500
Br1 Br 0.500 0.500 0.500
# E_form (uncorrected) = 47.6 kJ per mole of atoms
# N(E_F) = 0.93 states/eV/atom
# Uncorrected energy = -23.109 eV for the cell shown

---

(3)
# CoPb3Br GGA-PBEsol relaxed
data_CoPb3Br
_cell_length_a 5.061
_cell_length_b 5.061
_cell_length_c 5.061
_cell_angle_alpha 90.00
_cell_angle_beta 90.00
_cell_angle_gamma 90.00
_space_group_name_H-M_alt 'P m -3 m'
_space_group_IT_number 221
_space_group_name_Hall '-P 4 2 3'
loop_
_atom_site_label
_atom_site_type_symbol
_atom_site_fract_x
_atom_site_fract_y
_atom_site_fract_z
Co1 Co 0.000 0.000 0.000
Pb1 Pb 0.000 0.000 0.500
Br1 Br 0.500 0.500 0.500
# E_form (uncorrected) = -0.4 kJ per mole of atoms
# N(E_F) = 0.80 states/eV/atom
# Uncorrected energy = -21.623 eV for the cell shown

---

(4)
# CoPbSe2Br GGA-PBEsol relaxed
data_CoPbSe2Br
_cell_length_a 4.694
_cell_length_b 4.694
_cell_length_c 4.952
_cell_angle_alpha 90.00
_cell_angle_beta 90.00
_cell_angle_gamma 90.00
_space_group_name_H-M_alt 'P 4/m m m'
_space_group_IT_number 123
_space_group_name_Hall '-P 4 2'
loop_
_atom_site_label
_atom_site_type_symbol
_atom_site_fract_x
_atom_site_fract_y
_atom_site_fract_z
Co1 Co 0.000 0.000 0.000
Pb1 Pb 0.500 0.500 0.500
Se1 Se 0.000 0.500 0.000
Br1 Br 0.000 0.000 0.500
# E_form (uncorrected) = -8.1 kJ per mole of atoms
# N(E_F) = 1.00 states/eV/atom
# Uncorrected energy = -21.727 eV for the cell shown

---

(5)
# CoSn2PbBr GGA-PBEsol relaxed
data_CoSn2PbBr
_cell_length_a 4.816
_cell_length_b 4.816
_cell_length_c 5.321
_cell_angle_alpha 90.00
_cell_angle_beta 90.00
_cell_angle_gamma 90.00
_space_group_name_H-M_alt 'P 4/m m m'
_space_group_IT_number 123
_space_group_name_Hall '-P 4 2'
loop_
_atom_site_label
_atom_site_type_symbol
_atom_site_fract_x
_atom_site_fract_y
_atom_site_fract_z
Co1 Co 0.000 0.000 0.000
Sn1 Sn 0.000 0.500 0.000
Pb1 Pb 0.500 0.500 0.500
Br1 Br 0.000 0.000 0.500
# E_form (uncorrected) = 14.3 kJ per mole of atoms
# N(E_F) = 0.60 states/eV/atom
# Uncorrected energy = -21.386 eV for the cell shown

---

(6)
# Co3PdBr GGA-PBEsol relaxed
data_Co3PdBr
_cell_length_a 4.226
_cell_length_b 4.226
_cell_length_c 4.226
_cell_angle_alpha 90.00
_cell_angle_beta 90.00
_cell_angle_gamma 90.00
_space_group_name_H-M_alt 'P m -3 m'
_space_group_IT_number 221
_space_group_name_Hall '-P 4 2 3'
loop_
_atom_site_label
_atom_site_type_symbol
_atom_site_fract_x
_atom_site_fract_y
_atom_site_fract_z
Co1 Co 0.000 0.000 0.500
Pd1 Pd 0.500 0.500 0.500
Br1 Br 0.000 0.000 0.000
# E_form (uncorrected) = 107.5 kJ per mole of atoms
# N(E_F) = 1.47 states/eV/atom
# Uncorrected energy = -25.467 eV for the cell shown